[1]
Density functional theory data (PBE-GGA) for crystalline Tm2GaI at its relaxed geometry.

a = 4.2400 Å, b = 4.2400 Å, c = 7.7152 Å
α = 74.05°, β = 74.05°, γ = 60.00°
Fractional coordinates of all 4 atoms:
I (0.5000, 0.5000, 0.5000)
Tm (0.2688, 0.2688, 0.1936)
Tm (0.7312, 0.7312, 0.8064)
Ga (0.0000, 0.0000, 0.0000)

Summary:
Crystal system   trigonal
Final energy   -4.01 eV/atom
Density of states at the Fermi level   2.5 states/eV/f.u.
V   28.478 Å³/atom
ρ   7.79 g/cm³



[2]
Density functional theory data (PBE-GGA) for crystalline TmGaI at its relaxed geometry.

a = 4.1659 Å, b = 4.1659 Å, c = 12.4050 Å
α = 90.09°, β = 99.58°, γ = 119.99°
Fractional coordinates of all 6 atoms:
Tm (0.8923, 0.4452, 0.3375)
Tm (0.1077, 0.5548, 0.6625)
Ga (0.3142, 0.1570, 0.4712)
Ga (0.6858, 0.8430, 0.5288)
I (0.5485, 0.2761, 0.8246)
I (0.4515, 0.7239, 0.1754)

Summary:
Crystal system   monoclinic
Final energy   -3.99 eV/atom
Density of states at the Fermi level   0.9 states/eV/f.u.
V   30.493 Å³/atom
ρ   6.64 g/cm³



- Look up the density of states at the Fermi level of the second one.
  0.9 states/eV/f.u.